[1]
# Na2SnBi2, optimized geometry, DFT PBE-GGA
# - formation enthalpy at 0 K (eV/atom) = -0.18
# - energy relative to the lowest polymorph listed for this composition (kJ/mol of atoms) = 0.00
# - total magnetization (μB per atom) = 0.000
# - DOS at the Fermi energy (states/eV/f.u.) = 2.1
data_Na2SnBi2
_symmetry_space_group_name_H-M 'C m c 21'
_symmetry_Int_Tables_number 36
_cell_length_a 5.036
_cell_length_b 17.513
_cell_length_c 7.155
_cell_angle_alpha 90.00
_cell_angle_beta 90.00
_cell_angle_gamma 90.00
loop_
_symmetry_equiv_pos_as_xyz
'x,y,z'
'-x,-y,z+1/2'
'-x,y,z'
'x,-y,z+1/2'
'x+1/2,y+1/2,z'
'-x+1/2,-y+1/2,z+1/2'
'-x+1/2,y+1/2,z'
'x+1/2,-y+1/2,z+1/2'
loop_
_atom_site_label
_atom_site_fract_x
_atom_site_fract_y
_atom_site_fract_z
Na1 0.000 0.016 0.000
Na2 0.000 0.188 0.305
Sn1 0.000 0.400 0.189
Bi1 0.000 0.187 0.808
Bi2 0.000 0.429 0.771

=====

[2]
# Na5Sn5Bi2, optimized geometry, DFT PBE-GGA
# - formation enthalpy at 0 K (eV/atom) = -0.16
# - total magnetization (μB per atom) = 0.000
# - DOS at the Fermi energy (states/eV/f.u.) = 3.3
data_Na5Sn5Bi2
_symmetry_space_group_name_H-M 'C 1 2/m 1'
_symmetry_Int_Tables_number 12
_cell_length_a 17.729
_cell_length_b 3.502
_cell_length_c 14.041
_cell_angle_alpha 90.00
_cell_angle_beta 128.55
_cell_angle_gamma 90.00
loop_
_symmetry_equiv_pos_as_xyz
'x,y,z'
'-x,-y,-z'
'-x,y,-z'
'x,-y,z'
'x+1/2,y+1/2,z'
'-x+1/2,-y+1/2,-z'
'-x+1/2,y+1/2,-z'
'x+1/2,-y+1/2,z'
loop_
_atom_site_label
_atom_site_fract_x
_atom_site_fract_y
_atom_site_fract_z
Na1 0.000 0.000 0.000
Na2 0.165 0.500 0.507
Na3 0.187 0.500 0.753
Sn1 0.000 0.000 0.500
Sn2 0.014 0.000 0.747
Sn3 0.169 0.500 0.983
Bi1 0.145 0.500 0.257

=====

[3]
# Na5Sn2Bi5, optimized geometry, DFT PBE-GGA
# - formation enthalpy at 0 K (eV/atom) = -0.20
# - energy relative to the lowest polymorph listed for this composition (kJ/mol of atoms) = 0.00
# - total magnetization (μB per atom) = 0.000
# - DOS at the Fermi energy (states/eV/f.u.) = 3.1
data_Na5Sn2Bi5
_symmetry_space_group_name_H-M 'P -1'
_symmetry_Int_Tables_number 2
_cell_length_a 5.362
_cell_length_b 5.831
_cell_length_c 13.699
_cell_angle_alpha 96.33
_cell_angle_beta 90.25
_cell_angle_gamma 117.21
loop_
_symmetry_equiv_pos_as_xyz
'x,y,z'
'-x,-y,-z'
loop_
_atom_site_label
_atom_site_fract_x
_atom_site_fract_y
_atom_site_fract_z
Na1 0.000 0.000 0.000
Na2 0.341 0.682 0.520
Na3 0.449 0.895 0.183
Sn1 0.177 0.360 0.717
Bi1 0.000 0.000 0.500
Bi2 0.148 0.289 0.287
Bi3 0.293 0.590 0.948

=====

| no. | density (kg/m3) | calculated total energy (eV/atom) | volume (Å³/atom) |
| --- | --- | --- | --- |
| 1 | 6132 | -3.065 | 31.56 |
| 2 | 5488 | -3.026 | 28.40 |
| 3 | 6140 | -3.030 | 31.49 |